A plane-wave DFT calculation with PBE was carried out for crystalline KSrTh2 at its relaxed geometry.

The value obtained for the calculated volume is 158.5 Å³/f.u. The calculation puts the total energy at -15.578 eV per formula unit.

Cell: 3.5889 3.5889 14.2066 Å, 90.00 90.00 120.00°
Space group P-6m2 (No. 187)
Inequivalent atoms, fractional coordinates:
K1 0.0000 0.0000 0.0000 (multiplicity 1)
Sr1 0.6667 0.3333 0.5000 (multiplicity 1)
Th1 0.0000 0.0000 0.2672 (multiplicity 2)

***

A plane-wave DFT calculation with PBE was carried out for crystalline NdGd2In at its relaxed geometry.

The value obtained for the calculated volume is 118.4 Å³/f.u. The calculation puts the total energy at -17.910 eV per formula unit.

Cell: 4.925 4.925 4.883 Å, 90.00 90.00 90.00°
Space group P4/mmm (No. 123)
Inequivalent atoms, fractional coordinates:
Nd1 0.000 0.000 0.000 (multiplicity 1)
Gd1 0.000 0.500 0.500 (multiplicity 2)
In1 0.500 0.500 0.000 (multiplicity 1)

***

A plane-wave DFT calculation with PBE was carried out for crystalline GdDy2Ga3NiGe2 at its relaxed geometry.

The value obtained for the calculated volume is 177.0 Å³/f.u. The calculation puts the total energy at -44.261 eV per formula unit.

Cell: 4.161 12.141 7.007 Å, 90.00 90.00 90.00°
Space group Amm2 (No. 38)
Inequivalent atoms, fractional coordinates:
Gd1 0.000 0.000 0.000 (multiplicity 2)
Dy1 0.000 0.200 0.401 (multiplicity 4)
Ga1 0.500 0.000 0.372 (multiplicity 2)
Ga2 0.500 0.114 0.715 (multiplicity 4)
Ni1 0.000 0.000 0.600 (multiplicity 2)
Ge1 0.500 0.167 0.101 (multiplicity 4)

***

A plane-wave DFT calculation with PBE was carried out for crystalline Sm2TmSn3PdPt2 at its relaxed geometry.

The value obtained for the calculated volume is 201.2 Å³/f.u. The calculation puts the total energy at -52.500 eV per formula unit.

Cell: 4.065 13.044 7.590 Å, 90.00 90.00 90.00°
Space group Amm2 (No. 38)
Inequivalent atoms, fractional coordinates:
Sm1 0.000 0.206 0.000 (multiplicity 4)
Tm1 0.000 0.000 0.384 (multiplicity 2)
Sn1 0.500 0.000 0.048 (multiplicity 2)
Sn2 0.500 0.128 0.666 (multiplicity 4)
Pd1 0.000 0.000 0.788 (multiplicity 2)
Pt1 0.500 0.162 0.297 (multiplicity 4)

***

A plane-wave DFT calculation with PBE was carried out for crystalline KZrTe3Au at its relaxed geometry.

The value obtained for the calculated volume is 184.4 Å³/f.u. The calculation puts the total energy at -26.308 eV per formula unit.

Cell: 19.520 4.086 9.280 Å, 90.00 94.78 90.00°
Space group C2/m (No. 12)
Inequivalent atoms, fractional coordinates:
K1 0.131 0.000 0.096 (multiplicity 4)
Zr1 0.153 0.000 0.594 (multiplicity 4)
Te1 0.000 0.000 0.500 (multiplicity 2)
Te2 0.000 0.500 0.000 (multiplicity 2)
Te3 0.186 0.500 0.385 (multiplicity 4)
Te4 0.187 0.500 0.813 (multiplicity 4)
Au1 0.049 0.500 0.717 (multiplicity 4)

***

A plane-wave DFT calculation with PBE was carried out for crystalline Ta2Te2Se at its relaxed geometry.

The value obtained for the calculated volume is 130.2 Å³/f.u. The calculation puts the distance to the lowest polymorph of the same formula at 9.3 meV per atom.

Cell: 14.525 3.484 12.303 Å, 90.00 123.24 90.00°
Space group C2/m (No. 12)
Inequivalent atoms, fractional coordinates:
Ta1 0.084 0.000 0.144 (multiplicity 4)
Ta2 0.232 0.500 0.387 (multiplicity 4)
Te1 0.068 0.000 0.360 (multiplicity 4)
Te2 0.106 0.500 0.972 (multiplicity 4)
Se1 0.201 0.500 0.711 (multiplicity 4)

***

What did the fourth record say?
A plane-wave DFT calculation with PBE was carried out for crystalline Sm2TmSn3PdPt2 at its relaxed geometry.

The value obtained for the calculated volume is 201.2 Å³/f.u. The calculation puts the total energy at -52.500 eV per formula unit.

Cell: 4.065 13.044 7.590 Å, 90.00 90.00 90.00°
Space group Amm2 (No. 38)
Inequivalent atoms, fractional coordinates:
Sm1 0.000 0.206 0.000 (multiplicity 4)
Tm1 0.000 0.000 0.384 (multiplicity 2)
Sn1 0.500 0.000 0.048 (multiplicity 2)
Sn2 0.500 0.128 0.666 (multiplicity 4)
Pd1 0.000 0.000 0.788 (multiplicity 2)
Pt1 0.500 0.162 0.297 (multiplicity 4)

***

> Look up the calculated volume of the second one.

118.4 Å³/f.u.